# LiTbNi2

Crystalline LiTbNi2 at its relaxed geometry (PBE, Alexandria via LeMat-Bulk).

Cell: 4.072 4.072 3.762 Å, 90.00 90.00 90.00°
Element x y z (fractional)
Li (0.000, 0.000, 0.000)
Tb (0.500, 0.500, 0.000)
Ni (0.000, 0.500, 0.500)
Ni (0.500, 0.000, 0.500)

## Properties
Excess energy over the best structure of this formula in the dataset (eV per atom): 0.038
Space-group type: P4/mmm, No. 123
Energy of formation (meV per atom): -128.6
Electronic total energy (eV/atom): -4.655

---

# LiTbNi2

Crystalline LiTbNi2 at its relaxed geometry (PBE, Alexandria via LeMat-Bulk).

Cell: 3.322 3.322 5.689 Å, 90.00 90.00 90.00°
Element x y z (fractional)
Li (0.000, 0.000, 0.000)
Tb (0.000, 0.000, 0.500)
Ni (0.500, 0.500, 0.218)
Ni (0.500, 0.500, 0.782)

## Properties
Excess energy over the best structure of this formula in the dataset (eV per atom): 0.024
Space-group type: P4/mmm, No. 123
Energy of formation (meV per atom): -143.0
Electronic total energy (eV/atom): -4.670